# PuFeIr

PuFeIr after structural relaxation (GGA-PBE, the Open Quantum Materials Database).

Structure (CIF):
```
data_PuFeIr
_cell_length_a 4.264
_cell_length_b 4.264
_cell_length_c 4.264
_cell_angle_alpha 60.00
_cell_angle_beta 60.00
_cell_angle_gamma 60.00
_symmetry_space_group_name_H-M 'P 1'
_symmetry_Int_Tables_number 1
loop_
_symmetry_equiv_pos_as_xyz
'x,y,z'
loop_
_atom_site_label
_atom_site_type_symbol
_atom_site_fract_x
_atom_site_fract_y
_atom_site_fract_z
Fe1 Fe 0.000 0.000 0.000
Ir1 Ir 0.500 0.500 0.500
Pu1 Pu 0.250 0.250 0.250
```

Summary:
Space group = F-43m, No. 216
ΔH_f (0 K) = 0.77 eV/atom
Spin magnetization = 0.13 μB/cell